Material: ZnPb2Au3
Method: DFT, PBE-GGA
State: relaxed

Calculated values
size of the total moment	0.00	μB/atom
Fermi-level density of states	3.41	states/eV per cell
ΔE_f	-84	meV per atom
total DFT energy (no corrections)	-38.1	eV per cell

Structure (POSCAR):
```
ZnPb2Au3
1.0
6.3367 -3.6363 0.0000
6.3367 3.6363 0.0000
0.0000 0.0000 5.9809
Zn Pb Au
2 4 6
Direct
0.2169 0.7831 0.5000
0.7831 0.2169 0.0000
0.1585 0.4822 0.1280
0.4822 0.1585 0.6280
0.5178 0.8415 0.1280
0.8415 0.5178 0.6280
0.0774 0.1571 0.3088
0.1571 0.0774 0.8088
0.4447 0.5553 0.8358
0.5553 0.4447 0.3358
0.8429 0.9226 0.3088
0.9226 0.8429 0.8088
```